An optimized crystal structure of SmBe3Au6, computed with GGA-PBE.

Cell: 6.9739 6.9739 6.9739 Å, 48.19 48.19 48.19°
Atoms (fractional coordinates):
Sm1 0.0000 0.0000 0.0000
Be1 0.3097 0.3097 0.3097
Be2 0.6450 0.6450 0.6450
Be3 0.8414 0.8414 0.8414
Au1 0.0783 0.5771 0.5733
Au2 0.2929 0.4780 0.8863
Au3 0.4780 0.8863 0.2929
Au4 0.5733 0.0783 0.5771
Au5 0.5771 0.5733 0.0783
Au6 0.8863 0.2929 0.4780

Properties
D(E_F): 3.58 states/eV per cell
formation enthalpy at 0 K: -2.931 eV/f.u.
symmetry: R3
calculated volume: 173 Å³/f.u.